[1]
Compound: RbTiTl3
Source: the Alexandria database
Functional: SCAN
Structure: single point on PBEsol structure

```
data_RbTiTl3
_cell_length_a 5.4500
_cell_length_b 5.4500
_cell_length_c 5.4500
_cell_angle_alpha 90.00
_cell_angle_beta 90.00
_cell_angle_gamma 90.00
_symmetry_space_group_name_H-M 'P 1'
_symmetry_Int_Tables_number 1
_symmetry_space_group_name_Hall 'P 1'
loop_
_atom_site_label
_atom_site_type_symbol
_atom_site_fract_x
_atom_site_fract_y
_atom_site_fract_z
_atom_site_occupancy
Rb1 Rb 0.0000 0.0000 0.0000 1
Ti1 Ti 0.5000 0.5000 0.5000 1
Tl1 Tl 0.0000 0.5000 0.5000 1
Tl2 Tl 0.5000 0.0000 0.5000 1
Tl3 Tl 0.5000 0.5000 0.0000 1
```

Values from the calculation:
Total magnetic moment ... 1.39 μB per formula unit
Space-group type ... Pm-3m
ρ ... 7.66 Mg/m³
Formation energy from the elements ... 0.007 eV/atom
E ... -253.811 eV/f.u.


[2]
Compound: CuPO4
Source: the Alexandria database
Functional: SCAN
Structure: single point on PBEsol structure

```
data_CuPO4
_cell_length_a 4.5573
_cell_length_b 4.5573
_cell_length_c 4.5573
_cell_angle_alpha 105.55
_cell_angle_beta 105.55
_cell_angle_gamma 117.63
_symmetry_space_group_name_H-M 'P 1'
_symmetry_Int_Tables_number 1
_symmetry_space_group_name_Hall 'P 1'
loop_
_atom_site_label
_atom_site_type_symbol
_atom_site_fract_x
_atom_site_fract_y
_atom_site_fract_z
_atom_site_occupancy
Cu1 Cu 0.0000 0.0000 0.0000 1
P1 P 0.2500 0.7500 0.5000 1
O1 O 0.1896 0.3690 0.4294 1
O2 O 0.2398 0.8104 0.1794 1
O3 O 0.6310 0.0604 0.8206 1
O4 O 0.9396 0.7602 0.5706 1
```

Values from the calculation:
Total magnetic moment ... 0.00 μB per formula unit
Space-group type ... I-4
ρ ... 3.67 Mg/m³
Raw formation energy ... -1.5895 eV per atom
E ... -60.060 eV/f.u.


[3]
Compound: CoSn2B2
Source: the Alexandria database
Functional: SCAN
Structure: single point on PBEsol structure

```
data_CoSn2B2
_cell_length_a 7.9902
_cell_length_b 7.9902
_cell_length_c 7.9902
_cell_angle_alpha 158.87
_cell_angle_beta 158.87
_cell_angle_gamma 30.06
_symmetry_space_group_name_H-M 'P 1'
_symmetry_Int_Tables_number 1
_symmetry_space_group_name_Hall 'P 1'
loop_
_atom_site_label
_atom_site_type_symbol
_atom_site_fract_x
_atom_site_fract_y
_atom_site_fract_z
_atom_site_occupancy
Co1 Co 0.0000 0.0000 0.0000 1
Sn1 Sn 0.3910 0.3910 0.0000 1
Sn2 Sn 0.6090 0.6090 0.0000 1
B1 B 0.2500 0.7500 0.5000 1
B2 B 0.7500 0.2500 0.5000 1
```

Values from the calculation:
Total magnetic moment ... 0.72 μB per formula unit
Space-group type ... I4/mmm
ρ ... 7.97 Mg/m³
Formation energy from the elements ... 0.966 eV/atom
E ... -99.176 eV/f.u.


[4]
Compound: TbHSe
Source: the Alexandria database
Functional: SCAN
Structure: single point on PBEsol structure

```
data_TbHSe
_cell_length_a 3.8015
_cell_length_b 3.8015
_cell_length_c 3.8539
_cell_angle_alpha 90.00
_cell_angle_beta 90.00
_cell_angle_gamma 120.00
_symmetry_space_group_name_H-M 'P 1'
_symmetry_Int_Tables_number 1
_symmetry_space_group_name_Hall 'P 1'
loop_
_atom_site_label
_atom_site_type_symbol
_atom_site_fract_x
_atom_site_fract_y
_atom_site_fract_z
_atom_site_occupancy
Tb1 Tb 0.0000 0.0000 0.0000 1
H1 H 0.3333 0.6667 0.0000 1
Se1 Se 0.6667 0.3333 0.5000 1
```

Values from the calculation:
Total magnetic moment ... 0.00 μB per formula unit
Space-group type ... P-6m2
ρ ... 8.22 Mg/m³
E ... -75.211 eV/f.u.


[5]
Compound: OsSCl2
Source: the Alexandria database
Functional: SCAN
Structure: single point on PBEsol structure

```
data_OsSCl2
_cell_length_a 11.2332
_cell_length_b 11.2332
_cell_length_c 11.2332
_cell_angle_alpha 14.23
_cell_angle_beta 14.23
_cell_angle_gamma 14.23
_symmetry_space_group_name_H-M 'P 1'
_symmetry_Int_Tables_number 1
_symmetry_space_group_name_Hall 'P 1'
loop_
_atom_site_label
_atom_site_type_symbol
_atom_site_fract_x
_atom_site_fract_y
_atom_site_fract_z
_atom_site_occupancy
Os1 Os 0.0000 0.0000 0.0000 1
S1 S 0.5000 0.5000 0.5000 1
Cl1 Cl 0.0662 0.0662 0.0662 1
Cl2 Cl 0.9338 0.9338 0.9338 1
```

Values from the calculation:
Total magnetic moment ... 0.00 μB per formula unit
Space-group type ... R-3m
ρ ... 6.53 Mg/m³
Raw formation energy ... 0.5330 eV per atom
E ... -95.332 eV/f.u.


[6]
Compound: Ca3TlP
Source: the Alexandria database
Functional: SCAN
Structure: single point on PBEsol structure

```
data_Ca3TlP
_cell_length_a 5.6687
_cell_length_b 5.6687
_cell_length_c 5.6687
_cell_angle_alpha 90.00
_cell_angle_beta 90.00
_cell_angle_gamma 90.00
_symmetry_space_group_name_H-M 'P 1'
_symmetry_Int_Tables_number 1
_symmetry_space_group_name_Hall 'P 1'
loop_
_atom_site_label
_atom_site_type_symbol
_atom_site_fract_x
_atom_site_fract_y
_atom_site_fract_z
_atom_site_occupancy
Ca1 Ca 0.0000 0.0000 0.5000 1
Ca2 Ca 0.0000 0.5000 0.0000 1
Ca3 Ca 0.5000 0.0000 0.0000 1
Tl1 Tl 0.0000 0.0000 0.0000 1
P1 P 0.5000 0.5000 0.5000 1
```

Values from the calculation:
Total magnetic moment ... 0.00 μB per formula unit
Space-group type ... Pm-3m
ρ ... 3.24 Mg/m³
Formation energy from the elements ... 0.071 eV/atom
Energy above the most stable polymorph in this dataset ... 91.66 kJ/mol of atoms
E ... -111.393 eV/f.u.


[7]
Compound: BaGeI3
Source: the Alexandria database
Functional: SCAN
Structure: single point on PBEsol structure

```
data_BaGeI3
_cell_length_a 6.5358
_cell_length_b 6.5358
_cell_length_c 6.5358
_cell_angle_alpha 90.00
_cell_angle_beta 90.00
_cell_angle_gamma 90.00
_symmetry_space_group_name_H-M 'P 1'
_symmetry_Int_Tables_number 1
_symmetry_space_group_name_Hall 'P 1'
loop_
_atom_site_label
_atom_site_type_symbol
_atom_site_fract_x
_atom_site_fract_y
_atom_site_fract_z
_atom_site_occupancy
Ba1 Ba 0.0000 0.0000 0.0000 1
Ge1 Ge 0.5000 0.5000 0.5000 1
I1 I 0.0000 0.0000 0.5000 1
I2 I 0.0000 0.5000 0.0000 1
I3 I 0.5000 0.0000 0.0000 1
```

Values from the calculation:
Total magnetic moment ... 1.00 μB per formula unit
Space-group type ... Pm-3m
ρ ... 3.51 Mg/m³
Raw formation energy ... -0.3677 eV per atom
Energy above the most stable polymorph in this dataset ... 40.90 kJ/mol of atoms
E ... -170.701 eV/f.u.


[8]
Compound: Cd2CoHg
Source: the Alexandria database
Functional: SCAN
Structure: single point on PBEsol structure

```
data_Cd2CoHg
_cell_length_a 2.9384
_cell_length_b 4.3347
_cell_length_c 5.7656
_cell_angle_alpha 90.00
_cell_angle_beta 104.29
_cell_angle_gamma 90.00
_symmetry_space_group_name_H-M 'P 1'
_symmetry_Int_Tables_number 1
_symmetry_space_group_name_Hall 'P 1'
loop_
_atom_site_label
_atom_site_type_symbol
_atom_site_fract_x
_atom_site_fract_y
_atom_site_fract_z
_atom_site_occupancy
Cd1 Cd 0.0000 0.0000 0.0000 1
Cd2 Cd 0.3438 0.5000 0.6963 1
Co1 Co 0.5876 0.5000 0.1821 1
Hg1 Hg 0.7260 0.0000 0.4550 1
```

Values from the calculation:
Total magnetic moment ... 1.71 μB per formula unit
Space-group type ... Pm
ρ ... 11.30 Mg/m³
Formation energy from the elements ... 0.223 eV/atom
E ... -145.407 eV/f.u.